Record 1
12
Lattice="-3.043 0.401 10.328 -6.722 -3.930 -7.448 1.192 -2.918 0.464" Properties=species:S:1:pos:R:3 comment="SbRu (PBE, relaxed)" energy_ev_per_cell=-76.820 raw_formation_energy_kj_per_mol_atoms=28.7 pbc="T T T"
Sb -1.642 -1.004 3.365
Sb -2.619 -3.623 0.345
Ru -2.192 -0.820 5.938
Sb -6.931 -5.442 -0.020
Sb -5.954 -2.824 2.999
Sb -4.255 -4.959 -3.848
Ru -6.106 -2.483 5.529
Ru -3.615 -2.013 2.090
Ru -6.381 -5.627 -2.593
Sb -4.318 -1.488 7.192
Ru -2.467 -3.964 -2.185
Ru -4.958 -4.434 1.255

Record 2
6
Lattice="-0.048 -0.650 5.058 1.865 -2.939 3.727 6.845 4.843 1.510" Properties=species:S:1:pos:R:3 comment="Sb2Ru (PBE, relaxed)" energy_ev_per_cell=-34.837 raw_formation_energy_kj_per_mol_atoms=3.3 pbc="T T T"
Sb 1.315 -2.331 5.900
Sb 2.505 -0.217 3.974
Ru 5.985 1.100 6.713
Sb 5.716 2.258 4.334
Ru 8.561 1.424 9.858
Sb 3.349 1.739 1.824

Record 3
6
Lattice="1.426 4.987 -0.001 -1.426 4.987 -0.001 0.000 1.777 6.328" Properties=species:S:1:pos:R:3 comment="SbRu5 (PBE, relaxed)" energy_ev_per_cell=-49.620 polymorph_energy_ev_per_atom=0.053 raw_formation_energy_kj_per_mol_atoms=14.2 pbc="T T T"
Ru 0.000 1.907 6.301
Ru 0.000 3.904 2.167
Ru 0.000 10.494 3.831
Ru 0.000 6.517 1.832
Sb 0.000 4.543 6.007
Ru 0.000 7.708 4.115

Record 4
8
Lattice="5.020 0.000 0.000 0.000 5.020 0.000 0.000 0.000 5.020" Properties=species:S:1:pos:R:3 comment="SbRu3 (PBE, relaxed)" energy_ev_per_cell=-60.150 raw_formation_energy_kj_per_mol_atoms=45.2 pbc="T T T"
Ru 0.000 3.765 2.510
Sb 0.000 0.000 0.000
Ru 1.255 2.510 0.000
Ru 3.765 2.510 0.000
Ru 2.510 0.000 3.765
Ru 2.510 0.000 1.255
Sb 2.510 2.510 2.510
Ru 0.000 1.255 2.510

Record 5
5
Lattice="10.336 -1.689 -0.020 10.336 1.689 -0.020 10.065 0.000 2.893" Properties=species:S:1:pos:R:3 comment="Sb3Ru2 (PBE, relaxed)" energy_ev_per_cell=-30.461 polymorph_energy_ev_per_atom=0.068 raw_formation_energy_kj_per_mol_atoms=8.8 pbc="T T T"
Sb 0.000 0.000 0.000
Ru 12.256 0.000 1.138
Sb 6.454 0.000 0.599
Ru 18.481 0.000 1.715
Sb 24.283 0.000 2.254

Record 6
6
Lattice="-3.220 0.122 -0.109 0.096 -2.386 -5.528 -0.325 -6.187 2.664" Properties=species:S:1:pos:R:3 comment="Sb2Ru (PBE, relaxed)" energy_ev_per_cell=-36.577 raw_formation_energy_kj_per_mol_atoms=-24.7 pbc="T T T"
Ru -1.724 -4.225 -1.487
Sb -1.591 -2.448 -3.448
Sb -1.858 -6.002 0.475
Sb -0.099 -2.647 -0.056
Sb -0.130 -5.925 -2.808
Ru 0.000 0.000 0.000

Record 7
6
Lattice="3.668 -6.353 0.000 3.668 6.353 0.000 0.000 0.000 3.470" Properties=species:S:1:pos:R:3 comment="Sb5Ru (PBE, relaxed)" energy_ev_per_cell=-28.578 polymorph_energy_ev_per_atom=0.167 raw_formation_energy_kj_per_mol_atoms=21.1 pbc="T T T"
Sb 2.626 4.548 0.000
Sb 3.668 -2.118 1.735
Sb 3.668 2.118 1.735
Sb 2.084 0.000 0.000
Sb 2.626 -4.548 0.000
Ru 0.000 0.000 1.735

Record 8
16
Lattice="-3.046 6.767 9.440 -2.972 -9.888 6.130 2.908 -0.202 1.083" Properties=species:S:1:pos:R:3 comment="SbRu (PBE, relaxed)" energy_ev_per_cell=-103.664 raw_formation_energy_kj_per_mol_atoms=21.2 pbc="T T T"
Ru -0.408 -2.538 5.084
Sb -2.640 -3.280 10.937
Ru -2.071 -5.093 9.071
Sb -2.301 3.998 6.922
Ru -4.119 1.483 11.334
Sb -1.161 -4.481 6.742
Ru -4.300 -5.266 10.558
Sb -4.889 -0.507 13.028
Sb -1.129 -2.613 2.541
Ru -2.702 -0.785 11.568
Ru -1.718 2.145 5.011
Sb -0.469 -0.043 5.715
Ru -1.898 -4.604 4.236
Sb -3.717 -7.118 8.647
Sb -1.949 1.158 9.910
Ru -1.038 1.770 7.581

Record 9
8
Lattice="-0.283 5.124 5.503 -2.656 -6.377 2.983 3.827 -1.046 1.171" Properties=species:S:1:pos:R:3 comment="Sb3Ru (PBE, relaxed)" energy_ev_per_cell=-42.564 polymorph_energy_ev_per_atom=0.092 raw_formation_energy_kj_per_mol_atoms=8.7 pbc="T T T"
Sb 0.311 0.490 3.077
Sb 0.578 -2.789 6.580
Ru 1.593 -0.478 5.325
Sb 1.759 -2.286 3.168
Sb 0.148 2.312 5.237
Ru -0.705 -1.821 4.331
Sb 0.740 -4.611 4.420
Sb -0.871 -0.013 6.488

Record 10
18
Lattice="7.757 0.000 0.000 -3.878 6.717 0.000 0.000 0.000 6.012" Properties=species:S:1:pos:R:3 comment="Sb4Ru5 (PBE, relaxed)" energy_ev_per_cell=-121.180 raw_formation_energy_kj_per_mol_atoms=24.4 pbc="T T T"
Ru 2.743 4.752 4.509
Sb 4.817 0.000 4.509
Sb 0.000 0.000 0.000
Sb 2.940 0.000 1.503
Ru 0.000 4.478 0.000
Ru 0.000 4.478 3.006
Ru 2.270 0.000 4.509
Sb -1.470 2.546 1.503
Sb 1.470 2.546 4.509
Ru 3.878 2.239 0.000
Ru 1.135 1.966 1.503
Ru -2.743 4.752 1.503
Ru -1.135 1.966 4.509
Sb 0.000 0.000 3.006
Ru 5.487 0.000 1.503
Sb -2.408 4.171 4.509
Ru 3.878 2.239 3.006
Sb 2.408 4.171 1.503

Record 11
8
Lattice="-1.103 -4.788 -1.735 4.547 -0.126 -2.542 2.294 -2.052 4.204" Properties=species:S:1:pos:R:3 comment="SbRu (PBE, relaxed)" energy_ev_per_cell=-53.424 raw_formation_energy_kj_per_mol_atoms=2.0 pbc="T T T"
Sb 2.590 -5.332 -1.311
Sb 0.466 -0.566 -0.006
Sb 3.371 -4.721 1.790
Ru 0.692 -5.601 0.644
Ru 4.661 -2.348 2.242
Sb 5.049 -3.313 -0.619
Ru 3.722 -3.067 -3.001
Ru 2.401 -2.915 -0.031

Record 12
12
Lattice="3.917 0.000 0.000 0.000 7.378 0.000 0.000 0.000 8.834" Properties=species:S:1:pos:R:3 comment="Sb2Ru (PBE, relaxed)" energy_ev_per_cell=-69.602 raw_formation_energy_kj_per_mol_atoms=3.9 pbc="T T T"
Ru 2.938 5.514 7.998
Ru 0.979 1.864 0.836
Sb 0.979 4.653 0.842
Sb 0.979 0.079 7.571
Sb 2.938 2.725 7.992
Sb 0.979 0.964 3.575
Sb 2.938 3.610 3.154
Ru 0.979 5.553 3.581
Sb 2.938 7.299 1.263
Sb 2.938 6.414 5.259
Ru 2.938 1.825 5.253
Sb 0.979 3.767 5.680

Record 13
12
Lattice="-3.798 -1.009 1.502 3.905 -4.972 6.533 0.140 4.894 3.641" Properties=species:S:1:pos:R:3 comment="SbRu (PBE, relaxed)" energy_ev_per_cell=-80.197 raw_formation_energy_kj_per_mol_atoms=1.5 pbc="T T T"
Ru -0.837 -1.696 2.636
Sb -1.780 3.639 3.833
Sb 1.365 2.079 4.846
Sb 3.247 -2.854 6.292
Sb 0.729 0.352 2.079
Ru 1.186 -1.735 7.723
Ru 1.965 -2.059 3.584
Sb 2.751 0.314 7.166
Ru 0.082 2.874 2.138
Ru 0.952 -3.974 5.630
Sb 0.102 -1.294 5.279
Ru -0.930 0.959 4.184

Record 14
6
Lattice="1.483 1.236 -4.388 -4.143 -2.345 0.557 -3.046 5.506 0.521" Properties=species:S:1:pos:R:3 comment="Sb2Ru (PBE, relaxed)" energy_ev_per_cell=-32.740 raw_formation_energy_kj_per_mol_atoms=37.0 pbc="T T T"
Sb -2.677 4.172 -2.348
Ru -1.154 1.419 -2.609
Sb 0.000 0.000 0.000
Sb -1.523 2.753 0.261
Sb -3.029 0.225 -0.961
Ru -4.553 2.979 -0.700

Record 15
4
Lattice="5.105 0.008 0.000 -1.188 4.964 0.000 0.000 0.000 3.516" Properties=species:S:1:pos:R:3 comment="Sb3Ru (PBE, relaxed)" energy_ev_per_cell=-19.671 polymorph_energy_ev_per_atom=0.495 raw_formation_energy_kj_per_mol_atoms=47.6 pbc="T T T"
Sb 1.958 2.486 0.000
Ru 0.000 0.000 0.000
Sb 2.552 0.004 1.758
Sb -0.594 2.482 1.758

Record 16
16
Lattice="-3.210 1.466 4.050 0.919 -7.595 3.478 5.898 2.448 3.788" Properties=species:S:1:pos:R:3 comment="SbRu (PBE, relaxed)" energy_ev_per_cell=-106.557 raw_formation_energy_kj_per_mol_atoms=3.8 pbc="T T T"
Ru 3.498 -2.180 7.258
Ru 2.852 1.434 5.168
Ru -1.187 -0.640 6.281
Ru 0.829 -2.780 6.778
Sb 5.397 -3.927 7.495
Sb -1.344 -3.545 5.578
Ru -0.366 -0.508 1.904
Sb -1.680 0.662 3.783
Ru 3.444 -4.793 6.016
Sb 1.365 -0.225 6.491
Sb 2.026 -4.297 8.494
Sb 1.797 0.335 3.068
Ru 2.052 -5.977 3.925
Ru 3.308 0.718 7.934
Sb 4.819 -0.541 5.806
Sb 2.050 -3.186 4.549

Record 17
6
Lattice="1.872 6.481 0.041 -1.872 6.481 0.041 0.000 2.549 5.743" Properties=species:S:1:pos:R:3 comment="Sb2Ru (PBE, relaxed)" energy_ev_per_cell=-35.603 raw_formation_energy_kj_per_mol_atoms=-9.0 pbc="T T T"
Sb 0.000 1.748 1.309
Sb 0.000 10.117 3.861
Sb 0.000 5.394 1.964
Ru 0.000 5.443 4.663
Sb 0.000 13.764 4.516
Ru 0.000 10.068 1.162

Record 18
6
Lattice="1.636 4.680 0.072 -1.636 4.680 0.072 0.000 2.441 7.308" Properties=species:S:1:pos:R:3 comment="SbRu (PBE, relaxed)" energy_ev_per_cell=-40.151 raw_formation_energy_kj_per_mol_atoms=0.7 pbc="T T T"
Ru 0.000 10.856 7.161
Sb 0.000 1.479 4.355
Ru 0.000 6.919 2.424
Ru 0.000 8.228 5.253
Sb 0.000 4.287 1.996
Sb 0.000 4.108 7.233

Record 19
6
Lattice="3.201 0.000 0.000 0.000 3.201 0.000 0.000 0.000 14.421" Properties=species:S:1:pos:R:3 comment="Sb5Ru (PBE, relaxed)" energy_ev_per_cell=-29.131 polymorph_energy_ev_per_atom=0.075 raw_formation_energy_kj_per_mol_atoms=12.2 pbc="T T T"
Ru 1.601 1.601 0.000
Sb 0.000 0.000 7.211
Sb 0.000 0.000 12.735
Sb 1.601 1.601 9.886
Sb 0.000 0.000 1.686
Sb 1.601 1.601 4.535

Record 20
9
Lattice="2.010 3.098 4.908 -4.878 -2.951 -2.286 3.338 -5.048 1.049" Properties=species:S:1:pos:R:3 comment="SbRu8 (PBE, relaxed)" energy_ev_per_cell=-77.531 raw_formation_energy_kj_per_mol_atoms=8.6 pbc="T T T"
Ru -1.011 -5.252 -0.812
Ru -0.215 1.143 2.584
Ru 3.511 -1.281 3.911
Ru 1.837 -0.670 2.046
Ru -2.652 -0.997 0.039
Sb 0.000 0.000 0.000
Ru 1.230 -3.215 1.525
Ru -0.760 -1.687 2.146
Ru -0.529 -2.748 -0.425

Record 21
3
Lattice="6.830 0.004 0.000 5.330 4.270 0.000 -6.080 -2.137 2.261" Properties=species:S:1:pos:R:3 comment="Sb2Ru (PBE, relaxed)" energy_ev_per_cell=-17.625 raw_formation_energy_kj_per_mol_atoms=-3.3 pbc="T T T"
Sb 1.595 0.561 0.000
Sb 10.565 3.713 0.000
Ru 6.080 2.137 0.000

Record 22
6
Lattice="4.821 3.902 3.198 -4.960 -0.789 -4.844 -3.698 1.691 3.511" Properties=species:S:1:pos:R:3 comment="Sb2Ru (PBE, relaxed)" energy_ev_per_cell=-33.261 raw_formation_energy_kj_per_mol_atoms=28.6 pbc="T T T"
Sb -2.424 3.025 2.154
Ru -4.684 0.210 -2.979
Sb -1.413 1.778 -0.290
Ru 0.846 4.594 4.844
Sb -5.497 1.551 -0.372
Sb 1.660 3.252 2.237

Record 23
4
Lattice="5.115 0.002 0.006 -2.277 4.580 0.006 -2.277 -3.677 2.730" Properties=species:S:1:pos:R:3 comment="SbRu3 (PBE, relaxed)" energy_ev_per_cell=-29.846 raw_formation_energy_kj_per_mol_atoms=50.8 pbc="T T T"
Ru 0.000 0.000 0.000
Ru 1.419 2.291 0.006
Ru 1.419 -1.838 1.368
Sb -2.277 0.451 1.368

Record 24
12
Lattice="4.201 0.000 0.000 -2.101 3.638 0.000 0.000 0.000 17.646" Properties=species:S:1:pos:R:3 comment="SbRu (PBE, relaxed)" energy_ev_per_cell=-77.534 raw_formation_energy_kj_per_mol_atoms=23.0 pbc="T T T"
Sb 2.101 1.213 13.399
Ru 0.000 0.000 5.647
Sb 0.000 0.000 16.003
Ru 2.101 1.213 6.128
Sb 2.101 1.213 10.129
Sb 0.000 2.426 4.247
Ru 2.101 1.213 0.247
Ru 0.000 0.000 11.999
Ru 0.000 2.426 11.518
Ru 0.000 2.426 17.400
Sb 0.000 2.426 7.517
Sb 0.000 0.000 1.643